Record 1
Material: TcBi3Pd
Method: DFT, meta-GGA SCAN
State: single point on PBEsol structure

Summary:
Electronic total energy (eV for the cell shown): -299.6
Total moment (μB/cell): 0.008
E_form (meV per atom): 803
Theoretical density (Mg/m³): 9.97
DOS(E_F) (states/eV/f.u.): 5.0

a b c (Å): 5.1738 5.1738 5.1738
angles (deg): 90.00 90.00 90.00
Fractional coordinates of all 5 atoms:
1 Tc 0.0000 0.0000 0.0000
2 Bi 0.0000 0.0000 0.5000
3 Bi 0.0000 0.5000 0.0000
4 Bi 0.5000 0.0000 0.0000
5 Pd 0.5000 0.5000 0.5000



Record 2
Material: Tc3BiPd
Method: DFT, meta-GGA SCAN
State: single point on PBEsol structure

Summary:
Excess energy over the best structure of this formula in the dataset (eV per atom): 0.000
Electronic total energy (eV for the cell shown): -207.2
Total moment (μB/cell): 7.489
E_form (meV per atom): 1867
Theoretical density (Mg/m³): 9.90
DOS(E_F) (states/eV/f.u.): 3.7

a b c (Å): 4.6763 4.6763 4.6763
angles (deg): 90.00 90.00 90.00
Fractional coordinates of all 5 atoms:
1 Tc 0.0000 0.0000 0.5000
2 Tc 0.0000 0.5000 0.0000
3 Tc 0.5000 0.0000 0.0000
4 Bi 0.5000 0.5000 0.5000
5 Pd 0.0000 0.0000 0.0000



Record 3
Material: BiTePd3
Method: DFT, meta-GGA SCAN
State: single point on PBEsol structure

Summary:
Formation energy from raw total energies (eV per atom): 0.2235
Electronic total energy (eV for the cell shown): -213.0
Total moment (μB/cell): 0.000
Theoretical density (Mg/m³): 9.29
DOS(E_F) (states/eV/f.u.): 3.1

a b c (Å): 4.8936 4.8936 4.8936
angles (deg): 90.00 90.00 90.00
Fractional coordinates of all 5 atoms:
1 Bi 0.0000 0.0000 0.0000
2 Te 0.5000 0.5000 0.5000
3 Pd 0.0000 0.5000 0.5000
4 Pd 0.5000 0.0000 0.5000
5 Pd 0.5000 0.5000 0.0000



Record 4
Material: Bi3TePd
Method: DFT, meta-GGA SCAN
State: single point on PBEsol structure

Summary:
Formation energy from raw total energies (eV per atom): 1.1814
Electronic total energy (eV for the cell shown): -299.9
Total moment (μB/cell): 0.000
Theoretical density (Mg/m³): 7.71
DOS(E_F) (states/eV/f.u.): 4.9

a b c (Å): 5.7019 5.7019 5.7019
angles (deg): 90.00 90.00 90.00
Fractional coordinates of all 5 atoms:
1 Bi 0.0000 0.0000 0.5000
2 Bi 0.0000 0.5000 0.0000
3 Bi 0.5000 0.0000 0.0000
4 Te 0.0000 0.0000 0.0000
5 Pd 0.5000 0.5000 0.5000